1.
A geometry-optimized CsAlIn2 structure. Source: Alexandria via LeMat-Bulk, functional GGA-PBE.

Values from the calculation:
M_tot = 0.00 μB per formula unit
density = 4.371 g/cm3
total DFT energy (no corrections) = -2.50 eV per atom

Cell lengths 8.1878, 8.1878, 8.1878 Å; angles 33.38, 33.38, 33.38 degrees
Last column: nearest neighbours and their distance in Å.
Element x y z (fractional)
Cs 0.0000 0.0000 0.0000  6 In 3.93
Al 0.5000 0.5000 0.5000  6 In 2.90
In 0.2108 0.2108 0.2108  3 Al 2.90
In 0.7892 0.7892 0.7892  3 Al 2.90

---

2.
A geometry-optimized Cs2AlIn structure. Source: Alexandria via LeMat-Bulk, functional GGA-PBE.

Values from the calculation:
M_tot = 0.00 μB per formula unit
density = 3.629 g/cm3
total DFT energy (no corrections) = -1.62 eV per atom

Cell lengths 6.4133, 6.4133, 6.4133 Å; angles 60.00, 60.00, 60.00 degrees
Last column: nearest neighbours and their distance in Å.
Element x y z (fractional)
Cs 0.2500 0.2500 0.2500  4 In 3.93, 4 Al 3.93
Cs 0.7500 0.7500 0.7500  4 Al 3.93, 4 In 3.93
Al 0.0000 0.0000 0.0000  8 Cs 3.93
In 0.5000 0.5000 0.5000  8 Cs 3.93

---

3.
A geometry-optimized CsAl2In2 structure. Source: Alexandria via LeMat-Bulk, functional GGA-PBE.

Values from the calculation:
ΔE to the lowest computed polymorph = 10 meV/atom
M_tot = 0.00 μB per formula unit
density = 4.708 g/cm3
total DFT energy (no corrections) = -2.70 eV per atom

Cell lengths 7.2057, 7.2057, 7.2057 Å; angles 141.02, 141.02, 56.31 degrees
Last column: nearest neighbours and their distance in Å.
Element x y z (fractional)
Cs 0.0000 0.0000 0.0000  8 In 3.74, 8 Al 3.98
Al 0.2500 0.7500 0.5000  4 In 2.90
Al 0.7500 0.2500 0.5000  4 In 2.90
In 0.3776 0.3776 0.0000  4 Al 2.90, 1 In 3.11
In 0.6224 0.6224 0.0000  4 Al 2.90, 1 In 3.11

---

4.
A geometry-optimized CsAl2In structure. Source: Alexandria via LeMat-Bulk, functional GGA-PBE.

Values from the calculation:
M_tot = 0.00 μB per formula unit
density = 3.265 g/cm3
total DFT energy (no corrections) = -2.46 eV per atom

Cell lengths 10.4405, 10.4405, 10.4405 Å; angles 148.66, 148.66, 44.91 degrees
Last column: nearest neighbours and their distance in Å.
Element x y z (fractional)
Cs 0.3750 0.6250 0.7500  8 Al 3.97, 4 In 3.99
Cs 0.6250 0.3750 0.2500  8 Al 3.97, 4 In 3.99
Al 0.0000 0.0000 0.0000  2 In 2.79, 2 Al 2.82
Al 0.0000 0.0000 0.5000  2 In 2.79, 2 Al 2.82
Al 0.0000 0.5000 0.0000  2 In 2.79, 2 Al 2.82
Al 0.5000 0.0000 0.5000  2 In 2.79, 2 Al 2.82
In 0.1250 0.8750 0.2500  4 Al 2.79
In 0.8750 0.1250 0.7500  4 Al 2.79

---

| no. | density of states at the Fermi level (states/eV/f.u.) | V (Å³/atom) | formation energy (meV per atom) |
| --- | --- | --- | --- |
| 1 | 2.34 | 37.00 | 15 |
| 2 | 3.66 | 46.63 | 431 |
| 3 | 1.97 | 29.38 | 63 |
| 4 | 1.04 | 38.36 | 305 |